In3PdBr (GGA-PBE, optimized geometry); DOS at the Fermi energy = 2.07 states/eV/f.u.; energy relative to the lowest polymorph listed for this composition = 1017 meV per atom; symmetry = No. 221; calculated density = 4.47 g/cm3; ΔE_f (raw) = 586 meV per atom
1.0
5.8193 0.0000 0.0000
0.0000 5.8193 0.0000
0.0000 0.0000 5.8193
Br Pd In
1 1 3
direct
0.0000 0.0000 0.0000
0.5000 0.5000 0.5000
0.0000 0.5000 0.0000
0.0000 0.0000 0.5000
0.5000 0.0000 0.0000


Sr2Al3SbAu12 (GGA-PBE, optimized geometry); DOS at the Fermi energy = 5.55 states/eV/f.u.; symmetry = No. 166; calculated density = 11.19 g/cm3; ΔE_f (raw) = -271 meV per atom
1.0
0.3157 -11.2922 0.7666
1.1965 -9.7496 -5.6315
6.2806 -9.3190 -1.3821
Sr Al Sb Au
2 3 1 12
direct
0.6381 0.6381 0.6381
0.3619 0.3619 0.3619
0.5000 0.0000 0.0000
0.0000 0.5000 0.0000
0.0000 0.0000 0.5000
0.0000 0.0000 0.0000
0.4033 0.4033 0.8280
0.8759 0.8759 0.4226
0.4226 0.8759 0.8759
0.8280 0.4033 0.4033
0.8759 0.4226 0.8759
0.4033 0.8280 0.4033
0.5967 0.5967 0.1720
0.1241 0.1241 0.5774
0.5774 0.1241 0.1241
0.1720 0.5967 0.5967
0.1241 0.5774 0.1241
0.5967 0.1720 0.5967


ScP2Ru2 (GGA-PBE, optimized geometry); calculated formation energy = -4.40 eV/f.u.; DOS at the Fermi energy = 1.39 states/eV/f.u.; symmetry = No. 11; calculated density = 6.77 g/cm3
1.0
-2.0221 -1.7319 -3.1306
3.5285 -0.1036 -2.2217
1.1459 -7.9955 3.6831
Sc P Ru
2 4 4
direct
0.2500 0.7429 0.2522
0.7500 0.2571 0.7478
0.2500 0.7805 0.6372
0.7500 0.2195 0.3628
0.2500 0.3405 0.0131
0.7500 0.6595 0.9869
0.2500 0.8381 0.9030
0.7500 0.1619 0.0970
0.2500 0.2536 0.4982
0.7500 0.7464 0.5018


Ce2PrSm3Te6 (GGA-PBE, optimized geometry); DOS at the Fermi energy = 17.73 states/eV/f.u.; symmetry = No. 12; calculated density = 7.15 g/cm3; ΔE_f (raw) = -1395 meV per atom
1.0
4.4486 0.0000 0.0000
0.0000 9.0051 0.2900
-2.2243 -2.6248 9.4077
Ce Pr Sm Te
2 1 3 6
direct
0.8330 0.6656 0.6659
0.1670 0.3344 0.3341
0.5000 0.0000 0.0000
0.5000 0.5000 0.0000
0.8356 0.1673 0.6712
0.1644 0.8327 0.3288
0.3310 0.9175 0.6620
0.6656 0.5861 0.3312
0.6690 0.0825 0.3380
0.0003 0.2547 0.0006
0.9997 0.7453 0.9994
0.3344 0.4139 0.6688


Pm7Tl2Ni (GGA-PBE, optimized geometry); calculated formation energy = 1.98 eV/f.u.; DOS at the Fermi energy = 11.09 states/eV/f.u.; symmetry = No. 225; calculated density = 7.51 g/cm3
1.0
7.7404 0.0000 0.0000
3.8702 6.7034 0.0000
3.8702 2.2345 6.3200
Pm Tl Ni
7 2 1
direct
0.5000 0.5000 0.5000
0.2388 0.7612 0.7612
0.2388 0.7612 0.2388
0.7612 0.2388 0.7612
0.7612 0.7612 0.2388
0.2388 0.2388 0.7612
0.7612 0.2388 0.2388
0.2500 0.2500 0.2500
0.7500 0.7500 0.7500
0.0000 0.0000 0.0000


KMnW2 (GGA-PBE, optimized geometry); calculated formation energy = 3.55 eV/f.u.; DOS at the Fermi energy = 2.49 states/eV/f.u.; energy relative to the lowest polymorph listed for this composition = 58 meV per atom; symmetry = No. 99; calculated density = 8.58 g/cm3
1.0
-3.1260 -0.3720 -0.6140
-0.4067 -1.3432 2.8840
-1.6033 7.8278 3.4198
K Mn W
1 1 2
direct
0.0000 0.0000 0.5056
0.5000 0.5000 0.8354
0.0000 0.0000 0.0019
0.5000 0.5000 0.1571


| no. | DFT total energy (eV/atom) | calculated volume (Å³ per atom) |
| --- | --- | --- |
| 1 | -2.4298 | 39.414 |
| 2 | -3.4953 | 22.600 |
| 3 | -8.0205 | 15.156 |
| 4 | -5.5324 | 31.688 |
| 5 | -4.1789 | 32.793 |
| 6 | -8.1548 | 22.352 |